Density functional theory data (PBEsol) for an optimized crystal structure of CaYCd2.

Magnetic moment = 0.00 Bohr magnetons per cell
VASP energy = -12.90 eV per cell
Space-group type = P4/mmm
Formation energy from the elements = -0.3871 eV per atom

Geometry as extended XYZ:
```
4
Lattice="-3.5123 0.1537 1.0456 -1.3499 -3.0570 -4.0851 0.7003 -4.2966 2.9840" Properties=species:S:1:pos:R:3 pbc="T T T"
Y -0.3248 -3.6768 -0.5506
Ca 0.0000 0.0000 0.0000
Cd -2.4311 -1.4517 -1.5197
Cd -1.4060 -2.0715 2.0148
```